No. 1
! Mg8CdGa5 | the Alexandria database | GGA-PBE | optimized geometry; values from VASP
! E_form (meV/atom): -50
! Total magnetization (μB/cell): 0.00
&SYSTEM
  ibrav = 0, nat = 14, ntyp = 3
/
ATOMIC_SPECIES
Mg 24.30 Mg.upf
Cd 112.41 Cd.upf
Ga 69.72 Ga.upf
CELL_PARAMETERS angstrom
7.286 -0.108 0.186
-2.567 6.820 -0.186
-2.152 -3.502 6.020
ATOMIC_POSITIONS crystal
Mg 0.158 0.750 0.074
Mg 0.926 0.084 0.676
Mg 0.733 0.248 0.338
Mg 0.662 0.395 0.909
Mg 0.515 0.605 0.267
Mg 0.592 0.916 0.842
Mg 0.324 0.250 0.408
Mg 0.091 0.752 0.485
Cd 0.250 0.500 0.750
Ga 0.037 0.335 0.145
Ga 0.855 0.891 0.190
Ga 0.810 0.665 0.702
Ga 0.500 0.000 0.500
Ga 0.298 0.109 0.963

---

No. 2
! BaSr5Ga4 | the Alexandria database | GGA-PBE | optimized geometry; values from VASP
! E_form (meV/atom): -255
! Total magnetization (μB/cell): 0.00
&SYSTEM
  ibrav = 0, nat = 10, ntyp = 3
/
ATOMIC_SPECIES
Ba 137.33 Ba.upf
Sr 87.62 Sr.upf
Ga 69.72 Ga.upf
CELL_PARAMETERS angstrom
-3.063 1.551 -4.235
3.458 -5.720 -4.595
-4.472 -5.938 4.569
ATOMIC_POSITIONS crystal
Ba 0.500 0.000 0.000
Sr 0.165 0.005 0.331
Sr 0.167 0.507 0.334
Sr 0.833 0.493 0.666
Sr 0.500 0.500 0.000
Sr 0.835 0.995 0.669
Ga 0.662 0.751 0.324
Ga 0.990 0.266 0.980
Ga 0.338 0.249 0.676
Ga 0.010 0.734 0.020

---

No. 3
! AcCd2SnHg5 | the Alexandria database | GGA-PBE | optimized geometry; values from VASP
! E_form (meV/atom): -63
! Total magnetization (μB/cell): 0.00
&SYSTEM
  ibrav = 0, nat = 9, ntyp = 4
/
ATOMIC_SPECIES
Ac 227.00 Ac.upf
Cd 112.41 Cd.upf
Sn 118.71 Sn.upf
Hg 200.59 Hg.upf
CELL_PARAMETERS angstrom
5.569 0.000 0.000
0.000 5.569 0.000
0.000 0.000 8.172
ATOMIC_POSITIONS crystal
Ac 0.000 0.000 0.500
Cd 0.500 0.500 0.161
Cd 0.500 0.500 0.839
Sn 0.000 0.000 0.000
Hg 0.000 0.500 0.245
Hg 0.500 0.000 0.245
Hg 0.000 0.500 0.755
Hg 0.500 0.000 0.755
Hg 0.500 0.500 0.500